# 1
Entry from Alexandria via LeMat-Bulk: a relaxed structure of Ba12Rh3Br5 (PBE).

Structure (POSCAR):
```
Ba12Rh3Br5
1.0
-9.646 9.646 9.646
9.646 -9.646 9.646
9.646 9.646 -9.646
Ba Rh Br
48 12 20
direct
0.062 0.234 0.130
0.062 0.328 0.932
0.068 0.630 0.396
0.068 0.938 0.672
0.104 0.734 0.672
0.104 0.870 0.432
0.130 0.062 0.234
0.130 0.568 0.896
0.172 0.234 0.604
0.172 0.438 0.568
0.234 0.130 0.062
0.234 0.604 0.172
0.266 0.328 0.896
0.266 0.438 0.370
0.328 0.896 0.266
0.328 0.932 0.062
0.370 0.266 0.438
0.370 0.604 0.932
0.396 0.068 0.630
0.396 0.828 0.766
0.432 0.104 0.870
0.432 0.828 0.562
0.438 0.370 0.266
0.438 0.568 0.172
0.562 0.432 0.828
0.562 0.630 0.734
0.568 0.172 0.438
0.568 0.896 0.130
0.604 0.172 0.234
0.604 0.932 0.370
0.630 0.396 0.068
0.630 0.734 0.562
0.672 0.068 0.938
0.672 0.104 0.734
0.734 0.562 0.630
0.734 0.672 0.104
0.766 0.396 0.828
0.766 0.870 0.938
0.828 0.562 0.432
0.828 0.766 0.396
0.870 0.432 0.104
0.870 0.938 0.766
0.896 0.130 0.568
0.896 0.266 0.328
0.932 0.062 0.328
0.932 0.370 0.604
0.938 0.672 0.068
0.938 0.766 0.870
0.125 0.250 0.375
0.125 0.375 0.750
0.250 0.375 0.125
0.250 0.875 0.625
0.375 0.125 0.250
0.375 0.750 0.125
0.625 0.250 0.875
0.625 0.875 0.750
0.750 0.125 0.375
0.750 0.625 0.875
0.875 0.625 0.250
0.875 0.750 0.625
0.000 0.000 0.000
0.000 0.000 0.500
0.000 0.500 0.000
0.000 0.500 0.500
0.125 0.750 0.875
0.125 0.875 0.250
0.250 0.125 0.875
0.250 0.625 0.375
0.375 0.250 0.625
0.375 0.625 0.750
0.500 0.000 0.000
0.500 0.000 0.500
0.500 0.500 0.000
0.500 0.500 0.500
0.625 0.375 0.250
0.625 0.750 0.375
0.750 0.375 0.625
0.750 0.875 0.125
0.875 0.125 0.750
0.875 0.250 0.125
```

Theoretical density in g/cm3: 4.36
SG: Ia-3d
DOS at the Fermi energy in states/eV per atom: 1.045
Energy relative to the elements, uncorrected in meV per atom: -646

=====

# 2
Entry from Alexandria via LeMat-Bulk: a relaxed structure of BaRh2Br (PBE).

Structure (POSCAR):
```
BaRh2Br
1.0
2.357 -3.029 0.000
2.357 3.029 0.000
0.000 0.000 6.394
Ba Rh Br
1 2 1
direct
0.000 0.000 0.000
0.500 0.500 0.284
0.500 0.500 0.716
0.000 0.000 0.500
```

Theoretical density in g/cm3: 7.70
SG: Cmmm
Relative energy among the computed polymorphs in eV per atom: 0.581
DOS at the Fermi energy in states/eV per atom: 1.288
Energy relative to the elements, uncorrected in meV per atom: 382

=====

# 3
Entry from Alexandria via LeMat-Bulk: a relaxed structure of BaRh2Br (PBE).

Structure (POSCAR):
```
BaRh2Br
1.0
0.000 3.092 4.942
3.073 0.000 4.942
3.073 3.092 0.000
Ba Rh Br
1 2 1
direct
0.000 0.000 0.000
0.000 0.500 0.500
0.500 0.000 0.000
0.500 0.500 0.500
```

Theoretical density in g/cm3: 7.48
SG: Fmmm
Relative energy among the computed polymorphs in eV per atom: 0.378
DOS at the Fermi energy in states/eV per atom: 1.321
Energy relative to the elements, uncorrected in meV per atom: 179

=====

# 4
Entry from Alexandria via LeMat-Bulk: a relaxed structure of BaRh2Br (PBE).

Structure (POSCAR):
```
BaRh2Br
1.0
-2.154 2.154 4.794
2.154 -2.154 4.794
2.154 2.154 -4.794
Ba Rh Br
1 2 1
direct
0.000 0.000 0.000
0.500 0.500 0.000
0.750 0.250 0.500
0.250 0.750 0.500
```

Theoretical density in g/cm3: 7.90
SG: I-4m2
Relative energy among the computed polymorphs in eV per atom: 0.465
DOS at the Fermi energy in states/eV per atom: 1.143
Energy relative to the elements, uncorrected in meV per atom: 266

=====

# 5
Entry from Alexandria via LeMat-Bulk: a relaxed structure of BaRhBr4 (PBE).

Structure (POSCAR):
```
BaRhBr4
1.0
0.000 4.558 4.558
4.558 0.000 4.558
4.558 4.558 0.000
Ba Rh Br
1 1 4
direct
0.000 0.000 0.000
0.750 0.750 0.750
0.375 0.375 0.375
0.375 0.375 0.874
0.375 0.874 0.375
0.874 0.375 0.375
```

Theoretical density in g/cm3: 4.91
SG: F-43m
DOS at the Fermi energy in states/eV per atom: 1.380
Energy relative to the elements, uncorrected in meV per atom: 56

=====

# 6
Entry from Alexandria via LeMat-Bulk: a relaxed structure of BaRhBr (PBE).

Structure (POSCAR):
```
BaRhBr
1.0
5.194 0.000 0.000
0.000 5.194 0.000
0.000 0.000 6.068
Ba Rh Br
2 2 2
direct
0.250 0.250 0.159
0.750 0.750 0.841
0.250 0.250 0.724
0.750 0.750 0.276
0.250 0.750 0.500
0.750 0.250 0.500
```

Theoretical density in g/cm3: 6.50
SG: P4/nmm
Relative energy among the computed polymorphs in eV per atom: 0.641
DOS at the Fermi energy in states/eV per atom: 0.436
Energy relative to the elements, uncorrected in meV per atom: -330

=====

# 7
Entry from Alexandria via LeMat-Bulk: a relaxed structure of BaRhBr (PBE).

Structure (POSCAR):
```
BaRhBr
1.0
4.048 0.000 0.000
-2.008 5.588 0.000
-0.015 -0.989 7.823
Ba Rh Br
2 2 2
direct
0.000 0.000 0.000
0.335 0.668 0.551
0.059 0.120 0.580
0.639 0.279 0.777
0.273 0.542 0.957
0.580 0.158 0.342
```

Theoretical density in g/cm3: 6.01
SG: P1
Relative energy among the computed polymorphs in eV per atom: 0.206
DOS at the Fermi energy in states/eV per atom: 0.000
Energy relative to the elements, uncorrected in meV per atom: -764

=====

# 8
Entry from Alexandria via LeMat-Bulk: a relaxed structure of Ba4RhBr3 (PBE).

Structure (POSCAR):
```
Ba4RhBr3
1.0
8.671 0.000 0.000
0.000 9.716 0.000
-2.695 0.000 7.565
Ba Rh Br
8 2 6
direct
0.211 0.105 0.495
0.211 0.895 0.995
0.227 0.339 0.969
0.227 0.661 0.469
0.773 0.339 0.531
0.773 0.661 0.031
0.789 0.105 0.005
0.789 0.895 0.505
0.000 0.126 0.750
0.000 0.874 0.250
0.000 0.394 0.250
0.000 0.606 0.750
0.500 0.132 0.250
0.500 0.388 0.750
0.500 0.612 0.250
0.500 0.868 0.750
```

Theoretical density in g/cm3: 4.65
SG: P2/c
DOS at the Fermi energy in states/eV per atom: 0.629
Energy relative to the elements, uncorrected in meV per atom: -1302

=====

# 9
Entry from Alexandria via LeMat-Bulk: a relaxed structure of Ba2RhBr (PBE).

Structure (POSCAR):
```
Ba2RhBr
1.0
4.687 0.000 0.000
0.000 4.687 0.000
0.000 0.000 6.565
Ba Rh Br
2 1 1
direct
0.000 0.000 0.000
0.500 0.500 0.452
0.500 0.500 0.031
0.000 0.000 0.503
```

Theoretical density in g/cm3: 5.27
SG: P4mm
Relative energy among the computed polymorphs in eV per atom: 0.086
DOS at the Fermi energy in states/eV per atom: 0.069
Energy relative to the elements, uncorrected in meV per atom: -845

=====

# 10
Entry from Alexandria via LeMat-Bulk: a relaxed structure of Ba4RhBr (PBE).

Structure (POSCAR):
```
Ba4RhBr
1.0
0.000 5.002 5.002
5.002 0.000 5.002
5.002 5.002 0.000
Ba Rh Br
4 1 1
direct
0.376 0.376 0.376
0.376 0.376 0.873
0.376 0.873 0.376
0.873 0.376 0.376
0.750 0.750 0.750
0.000 0.000 0.000
```

Theoretical density in g/cm3: 4.86
SG: F-43m
Relative energy among the computed polymorphs in eV per atom: 1.021
DOS at the Fermi energy in states/eV per atom: 1.270
Energy relative to the elements, uncorrected in meV per atom: 418

=====

# 11
Entry from Alexandria via LeMat-Bulk: a relaxed structure of BaRhBr (PBE).

Structure (POSCAR):
```
BaRhBr
1.0
2.325 -8.932 0.000
2.325 8.932 0.000
0.000 0.000 4.283
Ba Rh Br
2 2 2
direct
0.106 0.894 0.750
0.894 0.106 0.250
0.464 0.536 0.750
0.536 0.464 0.250
0.317 0.683 0.750
0.683 0.317 0.250
```

Theoretical density in g/cm3: 5.98
SG: Cmcm
Relative energy among the computed polymorphs in eV per atom: 0.043
DOS at the Fermi energy in states/eV per atom: 0.000
Energy relative to the elements, uncorrected in meV per atom: -927

=====

# 12
Entry from Alexandria via LeMat-Bulk: a relaxed structure of Ba3RhBr2 (PBE).

Structure (POSCAR):
```
Ba3RhBr2
1.0
4.362 -7.019 0.000
4.362 7.019 0.000
-2.767 0.000 7.403
Ba Rh Br
6 2 4
direct
0.000 0.500 0.500
0.133 0.275 0.005
0.275 0.133 0.505
0.500 0.000 0.000
0.725 0.867 0.495
0.867 0.725 0.995
0.094 0.906 0.750
0.906 0.094 0.250
0.262 0.738 0.250
0.421 0.579 0.750
0.579 0.421 0.250
0.738 0.262 0.750
```

Theoretical density in g/cm3: 4.94
SG: C2/c
Relative energy among the computed polymorphs in eV per atom: 0.015
DOS at the Fermi energy in states/eV per atom: 0.772
Energy relative to the elements, uncorrected in meV per atom: -1182

=====

# 13
Entry from Alexandria via LeMat-Bulk: a relaxed structure of BaRh2Br (PBE).

Structure (POSCAR):
```
BaRh2Br
1.0
4.294 0.000 0.000
0.000 4.294 0.000
0.000 0.000 4.985
Ba Rh Br
1 2 1
direct
0.000 0.000 0.000
0.000 0.500 0.500
0.500 0.000 0.500
0.500 0.500 0.000
```

Theoretical density in g/cm3: 7.64
SG: P4/mmm
Relative energy among the computed polymorphs in eV per atom: 0.414
DOS at the Fermi energy in states/eV per atom: 1.327
Energy relative to the elements, uncorrected in meV per atom: 215

=====

# 14
Entry from Alexandria via LeMat-Bulk: a relaxed structure of BaRh2Br (PBE).

Structure (POSCAR):
```
BaRh2Br
1.0
2.304 1.330 5.385
-2.304 1.330 5.385
0.000 -2.660 5.385
Ba Rh Br
1 2 1
direct
0.000 0.000 0.000
0.189 0.189 0.189
0.811 0.811 0.811
0.500 0.500 0.500
```

Theoretical density in g/cm3: 7.09
SG: R-3m
Relative energy among the computed polymorphs in eV per atom: 0.167
DOS at the Fermi energy in states/eV per atom: 0.834
Energy relative to the elements, uncorrected in meV per atom: -33

=====

# 15
Entry from Alexandria via LeMat-Bulk: a relaxed structure of Ba4RhBr (PBE).

Structure (POSCAR):
```
Ba4RhBr
1.0
5.442 -9.205 0.000
5.442 9.205 0.000
-5.141 0.000 5.562
Ba Rh Br
8 2 2
direct
0.011 0.626 0.831
0.235 0.390 0.843
0.374 0.989 0.669
0.390 0.235 0.343
0.610 0.765 0.657
0.626 0.011 0.331
0.765 0.610 0.157
0.989 0.374 0.169
0.309 0.691 0.250
0.691 0.309 0.750
0.030 0.970 0.750
0.970 0.030 0.250
```

Theoretical density in g/cm3: 4.36
SG: C2/c
Relative energy among the computed polymorphs in eV per atom: 0.000
DOS at the Fermi energy in states/eV per atom: 0.745
Energy relative to the elements, uncorrected in meV per atom: -603

=====

# 16
Entry from Alexandria via LeMat-Bulk: a relaxed structure of BaRh2Br (PBE).

Structure (POSCAR):
```
BaRh2Br
1.0
3.388 0.000 0.000
0.000 4.978 0.000
0.000 0.000 5.197
Ba Rh Br
1 2 1
direct
0.000 0.000 0.000
0.000 0.500 0.500
0.500 0.500 0.000
0.500 0.000 0.500
```

Theoretical density in g/cm3: 8.01
SG: Pmmm
Relative energy among the computed polymorphs in eV per atom: 0.385
DOS at the Fermi energy in states/eV per atom: 1.468
Energy relative to the elements, uncorrected in meV per atom: 186

=====

# 17
Entry from Alexandria via LeMat-Bulk: a relaxed structure of BaRhBr (PBE).

Structure (POSCAR):
```
BaRhBr
1.0
4.355 0.000 0.000
-2.014 3.865 0.000
-0.266 -2.478 12.177
Ba Rh Br
2 2 2
direct
0.000 0.000 0.000
0.144 0.258 0.403
0.397 0.802 0.202
0.750 0.449 0.202
0.601 0.244 0.844
0.857 0.702 0.559
```

Theoretical density in g/cm3: 5.19
SG: P1
Relative energy among the computed polymorphs in eV per atom: 0.000
DOS at the Fermi energy in states/eV per atom: 0.540
Energy relative to the elements, uncorrected in meV per atom: -970

=====

# 18
Entry from Alexandria via LeMat-Bulk: a relaxed structure of BaRhBr (PBE).

Structure (POSCAR):
```
BaRhBr
1.0
4.439 0.000 0.000
1.363 4.227 0.000
1.880 1.356 9.581
Ba Rh Br
2 2 2
direct
0.000 0.000 0.000
0.429 0.432 0.505
0.193 0.195 0.285
0.815 0.817 0.306
0.556 0.556 0.164
0.701 0.700 0.771
```

Theoretical density in g/cm3: 5.91
SG: P1
Relative energy among the computed polymorphs in eV per atom: 0.197
DOS at the Fermi energy in states/eV per atom: 0.117
Energy relative to the elements, uncorrected in meV per atom: -773

=====

# 19
Entry from Alexandria via LeMat-Bulk: a relaxed structure of Ba2RhBr (PBE).

Structure (POSCAR):
```
Ba2RhBr
1.0
-4.086 4.086 4.853
4.086 -4.086 4.853
4.086 4.086 -4.853
Ba Rh Br
4 2 2
direct
0.083 0.625 0.958
0.375 0.333 0.458
0.667 0.125 0.042
0.875 0.917 0.542
0.000 0.000 0.000
0.750 0.250 0.500
0.250 0.750 0.500
0.500 0.500 0.000
```

Theoretical density in g/cm3: 4.69
SG: I-42d
Relative energy among the computed polymorphs in eV per atom: 0.182
DOS at the Fermi energy in states/eV per atom: 0.000
Energy relative to the elements, uncorrected in meV per atom: -750

=====

# 20
Entry from Alexandria via LeMat-Bulk: a relaxed structure of BaRh2Br (PBE).

Structure (POSCAR):
```
BaRh2Br
1.0
0.000 3.593 3.593
3.593 0.000 3.593
3.593 3.593 0.000
Ba Rh Br
1 2 1
direct
0.000 0.000 0.000
0.500 0.500 0.500
0.750 0.750 0.750
0.250 0.250 0.250
```

Theoretical density in g/cm3: 7.57
SG: F-43m
Relative energy among the computed polymorphs in eV per atom: 0.452
DOS at the Fermi energy in states/eV per atom: 1.175
Energy relative to the elements, uncorrected in meV per atom: 252

=====

# 21
Entry from Alexandria via LeMat-Bulk: a relaxed structure of BaRhBr (PBE).

Structure (POSCAR):
```
BaRhBr
1.0
3.581 -2.647 0.000
3.581 2.647 0.000
-0.937 0.000 9.467
Ba Rh Br
2 2 2
direct
0.000 0.000 0.000
0.645 0.645 0.505
0.328 0.328 0.220
0.698 0.698 0.198
0.021 0.021 0.346
0.304 0.304 0.725
```

Theoretical density in g/cm3: 5.93
SG: Cm
Relative energy among the computed polymorphs in eV per atom: 0.179
DOS at the Fermi energy in states/eV per atom: 0.000
Energy relative to the elements, uncorrected in meV per atom: -791

=====

# 22
Entry from Alexandria via LeMat-Bulk: a relaxed structure of Ba2RhBr (PBE).

Structure (POSCAR):
```
Ba2RhBr
1.0
6.465 0.000 0.000
0.000 4.643 0.000
-1.486 0.000 9.205
Ba Rh Br
4 2 2
direct
0.188 0.250 0.140
0.299 0.250 0.718
0.701 0.750 0.282
0.812 0.750 0.860
0.356 0.750 0.953
0.644 0.250 0.047
0.235 0.750 0.422
0.765 0.250 0.578
```

Theoretical density in g/cm3: 5.50
SG: P2_1/m
Relative energy among the computed polymorphs in eV per atom: 0.000
DOS at the Fermi energy in states/eV per atom: 0.434
Energy relative to the elements, uncorrected in meV per atom: -932

=====

# 23
Entry from Alexandria via LeMat-Bulk: a relaxed structure of BaRhBr (PBE).

Structure (POSCAR):
```
BaRhBr
1.0
0.000 3.771 3.771
3.771 0.000 3.771
3.771 3.771 0.000
Ba Rh Br
1 1 1
direct
0.000 0.000 0.000
0.250 0.250 0.250
0.750 0.750 0.750
```

Theoretical density in g/cm3: 4.96
SG: F-43m
Relative energy among the computed polymorphs in eV per atom: 0.972
DOS at the Fermi energy in states/eV per atom: 2.205
Energy relative to the elements, uncorrected in meV per atom: 2